DFT (PBE-GGA) results for a relaxed BaAl2In2Ir crystal.

Values from the calculation:
Size of the total moment in μB per formula unit: 0.01
Uncorrected energy in eV per atom: -4.46

```
12
Lattice="8.499 0.000 0.000 0.000 4.304 0.000 0.000 0.000 7.744" Properties=species:S:1:pos:R:3 pbc="T T T"
Ba 2.125 0.000 0.835
Ba 6.375 0.000 6.908
Al 0.000 0.000 3.872
Al 2.125 2.152 3.528
Al 4.250 0.000 3.872
Al 6.375 2.152 4.216
In 0.494 2.152 6.042
In 3.755 2.152 6.042
In 4.744 2.152 1.701
In 8.005 2.152 1.701
Ir 2.125 0.000 4.992
Ir 6.375 0.000 2.751
```